1.
# AsP2Pb

A relaxed structure of AsP2Pb (GGA-PBE, Alexandria via LeMat-Bulk).

Lattice parameters (Å, degrees): 3.6083 4.8643 5.2586 90.00 90.26 90.00
With the nearest neighbours (Å) after each atom.
Space group P2/m (No. 10)
Unique sites:
As (0.0000, 0.0000, 0.0000)  4 P 2.70
P (0.2582, 0.5000, 0.8677)  2 P 2.23-2.33
Pb (0.5000, 0.0000, 0.5000)  4 As 3.18-3.20, 4 P 3.23

## Properties
M_tot = 0.00 μB/cell
Calculated formation energy = 257.4 meV per atom

---

2.
# Na5Sr3Hg12

A relaxed structure of Na5Sr3Hg12 (GGA-PBE, Alexandria via LeMat-Bulk).

Lattice parameters (Å, degrees): 18.3842 18.3842 18.3842 90.00 90.00 90.00
With the nearest neighbours (Å) after each atom.
Space group Ia-3d (No. 230)
Unique sites:
Na (0.0000, 0.0000, 0.0000)  6 Hg 3.11
Na (0.0000, 0.2500, 0.3750)  4 Hg 3.19
Sr (0.0000, 0.2500, 0.1250)  8 Hg 3.26-3.27
Hg (0.0033, 0.0749, 0.6517)  2 Na 3.11-3.19, 1 Hg 3.22, 2 Sr 3.26-3.27

## Properties
M_tot = 0.00 μB/cell
Calculated formation energy = -132.4 meV per atom